No. 1
# SrMnPt2F (PBE with a Hubbard U, relaxed)
# total magnetization	4.474	μB per formula unit
# total energy	-26.6	eV for the cell shown
data_SrMnPt2F
_cell_length_a 5.025
_cell_length_b 5.025
_cell_length_c 4.172
_cell_angle_alpha 90.00
_cell_angle_beta 90.00
_cell_angle_gamma 90.00
_space_group_name_H-M_alt 'P 4/m m m'
_space_group_IT_number 123
_space_group_name_Hall '-P 4 2'
loop_
_atom_site_label
_atom_site_type_symbol
_atom_site_fract_x
_atom_site_fract_y
_atom_site_fract_z
_atom_site_occupancy
Sr1 Sr 0.000 0.000 0.000 1
Mn1 Mn 0.500 0.500 0.500 1
Pt1 Pt 0.000 0.500 0.500 1
F1 F 0.500 0.500 0.000 1

=====

No. 2
# TlNiPO2 (PBE with a Hubbard U, relaxed)
# ΔE to the lowest computed polymorph	0.000	eV per atom
# total magnetization	0.002	μB per formula unit
# total energy	-19.7	eV for the cell shown
data_TlNiPO2
_cell_length_a 3.861
_cell_length_b 3.861
_cell_length_c 4.803
_cell_angle_alpha 90.00
_cell_angle_beta 90.00
_cell_angle_gamma 90.00
_space_group_name_H-M_alt 'P 4/m m m'
_space_group_IT_number 123
_space_group_name_Hall '-P 4 2'
loop_
_atom_site_label
_atom_site_type_symbol
_atom_site_fract_x
_atom_site_fract_y
_atom_site_fract_z
_atom_site_occupancy
Tl1 Tl 0.000 0.000 0.000 1
Ni1 Ni 0.500 0.500 0.500 1
P1 P 0.500 0.500 0.000 1
O1 O 0.000 0.500 0.500 1

=====

No. 3
# TiAgWO6 (PBE with a Hubbard U, relaxed)
# total magnetization	0.000	μB per formula unit
# total energy	-128.4	eV for the cell shown
data_TiAgWO6
_cell_length_a 5.2120
_cell_length_b 5.2120
_cell_length_c 9.6067
_cell_angle_alpha 90.00
_cell_angle_beta 90.00
_cell_angle_gamma 120.00
_space_group_name_H-M_alt 'P -3 1 c'
_space_group_IT_number 163
_space_group_name_Hall '-P 3 2c'
loop_
_atom_site_label
_atom_site_type_symbol
_atom_site_fract_x
_atom_site_fract_y
_atom_site_fract_z
_atom_site_occupancy
Ti1 Ti 0.3333 0.6667 0.2500 1
Ag1 Ag 0.0000 0.0000 0.0000 1
W1 W 0.3333 0.6667 0.7500 1
O1 O 0.0033 0.3696 0.6402 1